## ZrCdTe (PBE)

Data for a geometry-optimized ZrCdTe structure.

The value obtained for the uncorrected formation energy is -243.6 meV per atom. The calculation puts the calculated total energy at -4.445 eV per atom. The value obtained for the offset from the most stable computed form is 0.51 eV/f.u. The calculation puts the density at 6.761 g/cm3.

Geometry as CIF:
```
data_ZrCdTe
_cell_length_a 3.6885
_cell_length_b 3.6885
_cell_length_c 6.9045
_cell_angle_alpha 90.00
_cell_angle_beta 90.00
_cell_angle_gamma 120.00
_space_group_name_H-M_alt 'P 3 m 1'
_space_group_IT_number 156
_space_group_name_Hall 'P 3 -2"'
loop_
_atom_site_label
_atom_site_type_symbol
_atom_site_fract_x
_atom_site_fract_y
_atom_site_fract_z
Zr1 Zr 0.0000 0.0000 0.0000
Cd1 Cd 0.6667 0.3333 0.3263
Te1 Te 0.3333 0.6667 0.7230
```